(1)
An optimized crystal structure of CdMoAu2. Source: the Alexandria database, functional PBE.

Cell: 2.9233 2.9233 29.0835 Å, 90.00 90.00 120.00°
Space group R3m (No. 160, hexagonal axes)
Asymmetric unit:
Cd: 0.0000 0.0000 0.0000 x3
Mo: 0.0000 0.0000 0.2486 x3
Au: 0.0000 0.0000 0.5039 x3
Au: 0.0000 0.0000 0.7526 x3

Properties
ΔH_f (0 K)   218.7 meV per atom
Uncorrected energy   -52.3 eV per cell
Mass density   13.9 Mg/m³


(2)
An optimized crystal structure of Cd2MoAu. Source: the Alexandria database, functional PBE.

Cell: 2.8621 4.1998 6.1744 Å, 90.00 90.00 90.00°
Space group Pmmm (No. 47)
Asymmetric unit:
Cd: 0.0000 0.0000 0.2458 x2
Mo: 0.5000 0.5000 0.0000 x1
Au: 0.5000 0.5000 0.5000 x1

Properties
ΔH_f (0 K)   321.5 meV per atom
Uncorrected energy   -14.7 eV per cell
Mass density   11.6 Mg/m³